Record 1
Compound: TlCdP2
Source: the Alexandria database
Functional: PBE
Structure: relaxed

Summary:
E above lowest polymorph (eV/atom): 0.398
Symmetry: No. 65

a = 4.817 Å, b = 4.817 Å, c = 3.826 Å
α = 90.00°, β = 90.00°, γ = 106.45°
Fractional coordinates of all 4 atoms:
1 Cd 0.000 0.500 0.500
2 P 0.000 0.000 0.000
3 P 0.500 0.500 0.000
4 Tl 0.500 0.000 0.500

=====

Record 2
Compound: TlCd2P2
Source: the Alexandria database
Functional: PBE
Structure: relaxed

Summary:
E above lowest polymorph (eV/atom): 0.171
Symmetry: No. 127

a = 8.293 Å, b = 8.293 Å, c = 3.183 Å
α = 90.00°, β = 90.00°, γ = 90.00°
Fractional coordinates of all 10 atoms:
1 P 0.161 0.661 0.500
2 P 0.661 0.839 0.500
3 P 0.839 0.339 0.500
4 P 0.339 0.161 0.500
5 Tl 0.000 0.000 0.000
6 Tl 0.500 0.500 0.000
7 Cd 0.365 0.865 0.000
8 Cd 0.865 0.635 0.000
9 Cd 0.635 0.135 0.000
10 Cd 0.135 0.365 0.000

=====

Record 3
Compound: TlCd2P
Source: the Alexandria database
Functional: PBE
Structure: relaxed

Summary:
Symmetry: No. 71
DFT total energy (eV/atom): -2.19

a = 5.506 Å, b = 5.506 Å, c = 5.506 Å
α = 136.92°, β = 118.88°, γ = 77.68°
Fractional coordinates of all 4 atoms:
1 Cd 0.965 0.965 0.000
2 Cd 0.535 0.535 0.000
3 P 0.750 0.250 0.500
4 Tl 0.250 0.750 0.500

=====

Record 4
Compound: TlCdP3
Source: the Alexandria database
Functional: PBE
Structure: relaxed

Summary:
E above lowest polymorph (eV/atom): 0.000
Symmetry: No. 221

a = 5.087 Å, b = 5.087 Å, c = 5.087 Å
α = 90.00°, β = 90.00°, γ = 90.00°
Fractional coordinates of all 5 atoms:
1 P 0.000 0.500 0.000
2 P 0.000 0.000 0.500
3 P 0.500 0.000 0.000
4 Tl 0.500 0.500 0.500
5 Cd 0.000 0.000 0.000

=====

no.,DOS(E_F) (states/eV/cell),M_tot (Bohr magnetons per cell)
1,1.8,0.000
2,3.7,0.000
3,1.4,0.000
4,5.0,0.000